1.
# MnOsPd2Cl

A relaxed structure of MnOsPd2Cl (PBE, the Alexandria database).

Output
DOS at the Fermi energy: 4.21 states/eV/f.u.
uncorrected energy: -5.244 eV/atom
E_form (uncorrected): 6.41 eV per formula unit

Lattice parameters (Å, degrees): 4.7798 4.7798 4.2166 90.00 90.00 90.00
Last column: nearest neighbours and their distance in Å.
Space group P4/mmm (No. 123)
Unique sites:
Mn  0.0000  0.0000  0.0000 [1 per cell]  2 Cl 2.11
Os  0.5000  0.5000  0.5000 [1 per cell]  8 Pd 3.19, 4 Cl 3.38
Pd  0.0000  0.5000  0.0000 [2 per cell]  2 Mn 2.39
Cl  0.0000  0.0000  0.5000 [1 per cell]  2 Mn 2.11

---

2.
# Li3InPb

A relaxed structure of Li3InPb (PBE, the Alexandria database).

Output
DOS at the Fermi energy: 2.41 states/eV/f.u.
uncorrected energy: -2.668 eV/atom
ΔE_f: -0.23 eV/atom
excess energy over the best structure of this formula in the dataset: 0.228 eV/f.u.

Lattice parameters (Å, degrees): 4.7952 6.4109 7.2181 90.00 109.24 90.00
Last column: nearest neighbours and their distance in Å.
Space group P2_1/m (No. 11)
Unique sites:
Li  0.0006  0.2500  0.0010 [2 per cell]  2 Pb 2.89-2.90, 2 In 2.91-2.92, 6 Li 3.02-3.21
Li  0.1886  0.9999  0.3771 [4 per cell]  6 Li 2.92-3.21, 3 In 3.02-3.05, 3 Pb 3.03-3.07
In  0.3777  0.2500  0.7574 [2 per cell]  8 Li 2.91-3.05, 2 Pb 3.21
Pb  0.3792  0.7500  0.7607 [2 per cell]  8 Li 2.89-3.07, 2 In 3.21

---

3.
# Li3Sn2Au3

A relaxed structure of Li3Sn2Au3 (PBE, the Alexandria database).

Output
DOS at the Fermi energy: 2.87 states/eV/f.u.
uncorrected energy: -3.407 eV/atom
ΔE_f: -0.46 eV/atom

Lattice parameters (Å, degrees): 4.6825 4.6825 23.2431 90.00 90.00 120.00
Last column: nearest neighbours and their distance in Å.
Space group R3m (No. 160, hexagonal axes)
Unique sites:
Li  0.0000  0.0000  0.0000 [3 per cell]  7 Au 2.87-3.04, 1 Li 2.97
Li  0.0000  0.0000  0.1278 [3 per cell]  4 Li 2.90-2.97, 4 Sn 2.91-2.95, 6 Au 3.17-3.21
Li  0.0000  0.0000  0.5068 [3 per cell]  5 Au 2.72-2.79, 3 Li 2.90
Sn  0.0000  0.0000  0.2547 [3 per cell]  7 Au 2.84-3.14, 1 Li 2.95
Sn  0.0000  0.0000  0.7485 [3 per cell]  5 Au 2.77-2.87, 3 Li 2.91
Au  0.0000  0.0000  0.3897 [3 per cell]  4 Li 2.72-3.00, 3 Sn 2.77
Au  0.0000  0.0000  0.6249 [3 per cell]  4 Li 2.75-2.87, 4 Sn 2.84-2.87
Au  0.0000  0.0000  0.8692 [3 per cell]  4 Li 2.79-3.04, 4 Sn 2.81-2.96

---

4.
# PmPt2Rh

A relaxed structure of PmPt2Rh (PBE, the Alexandria database).

Output
DOS at the Fermi energy: 5.54 states/eV/f.u.
uncorrected energy: -6.768 eV/atom
ΔE_f: -0.72 eV/atom

Lattice parameters (Å, degrees): 4.1325 4.1325 4.1987 90.00 90.00 90.00
Last column: nearest neighbours and their distance in Å.
Space group P4/mmm (No. 123)
Unique sites:
Pm  0.0000  0.0000  0.0000 [1 per cell]  4 Rh 2.92, 8 Pt 2.95
Pt  0.0000  0.5000  0.5000 [2 per cell]  4 Pt 2.92, 4 Pm 2.95, 4 Rh 2.95
Rh  0.5000  0.5000  0.0000 [1 per cell]  4 Pm 2.92, 8 Pt 2.95

---

5.
# TbPaP2

A relaxed structure of TbPaP2 (PBE, the Alexandria database).

Output
DOS at the Fermi energy: 2.15 states/eV/f.u.
uncorrected energy: -7.667 eV/atom
ΔE_f: -1.43 eV/atom
excess energy over the best structure of this formula in the dataset: 0.114 eV/f.u.

Lattice parameters (Å, degrees): 3.9887 3.9887 13.0323 90.00 90.00 120.00
Last column: nearest neighbours and their distance in Å.
Space group P6_3/mmc (No. 194)
Unique sites:
Tb  0.3333  0.6667  0.2500 [2 per cell]  6 P 2.85
Pa  0.0000  0.0000  0.0000 [2 per cell]  6 P 2.79
P  0.3333  0.6667  0.6208 [4 per cell]  3 Pa 2.79, 3 Tb 2.85

---

6.
# HfMgTaI2

A relaxed structure of HfMgTaI2 (PBE, the Alexandria database).

Output
DOS at the Fermi energy: 6.74 states/eV/f.u.
uncorrected energy: -3.937 eV/atom
E_form (uncorrected): 6.81 eV per formula unit

Lattice parameters (Å, degrees): 5.4832 5.4832 5.8981 90.00 90.00 90.00
Last column: nearest neighbours and their distance in Å.
Space group P4/mmm (No. 123)
Unique sites:
Hf  0.0000  0.0000  0.0000 [1 per cell]  4 I 2.74, 2 Mg 2.95
Mg  0.0000  0.0000  0.5000 [1 per cell]  2 Hf 2.95
Ta  0.5000  0.5000  0.5000 [1 per cell]  4 Mg 3.88, 8 I 4.03
I  0.0000  0.5000  0.0000 [2 per cell]  2 Hf 2.74